Here is a relaxed Tl2Ag5F12 crystal from Alexandria. Energies are from PBE-GGA.

Cell and atoms, written as POSCAR:
```
Tl2Ag5F12
1.0
-4.972 -4.275 4.476
7.440 -1.098 0.174
-2.202 5.643 2.944
Tl Ag F
2 5 12
direct
0.754 0.000 0.000 Tl
0.246 0.000 0.000 Tl
0.274 0.549 0.533 Ag
0.305 0.609 0.142 Ag
0.000 0.000 0.500 Ag
0.695 0.391 0.858 Ag
0.726 0.451 0.467 Ag
0.902 0.804 0.018 F
0.119 0.619 0.863 F
0.500 0.619 0.863 F
0.092 0.821 0.610 F
0.729 0.821 0.610 F
0.493 0.985 0.784 F
0.507 0.015 0.216 F
0.908 0.179 0.390 F
0.271 0.179 0.390 F
0.881 0.381 0.137 F
0.500 0.381 0.137 F
0.098 0.196 0.982 F
```

Computed properties:
Calculated density ... 6.66 g/cm³
ΔE_f (raw) ... -1.33 eV per atom

Here is a relaxed CaTc2Mo crystal from Alexandria. Energies are from PBE-GGA.

Cell and atoms, written as POSCAR:
```
CaTc2Mo
1.0
9.058 -0.016 -0.010
8.545 3.004 -0.010
8.545 1.450 2.630
Mo Ca Tc
1 1 2
direct
0.750 0.750 0.750 Mo
0.250 0.250 0.250 Ca
0.012 0.012 0.012 Tc
0.488 0.488 0.488 Tc
```

Computed properties:
Calculated density ... 7.64 g/cm³
Electronic total energy ... -7.8684 eV per atom

Here is a relaxed CrCuRu2 crystal from Alexandria. Energies are from PBE-GGA.

Cell and atoms, written as POSCAR:
```
CrCuRu2
1.0
2.672 0.000 0.000
0.000 2.672 0.000
0.000 0.000 7.340
Cr Cu Ru
1 1 2
direct
0.000 0.000 0.503 Cr
0.500 0.500 0.743 Cu
0.000 0.000 0.999 Ru
0.500 0.500 0.256 Ru
```

Computed properties:
Calculated density ... 10.07 g/cm³
Electronic total energy ... -7.8111 eV per atom

Here is a relaxed KIn2Se crystal from Alexandria. Energies are from PBE-GGA.

Cell and atoms, written as POSCAR:
```
KIn2Se
1.0
-2.118 2.488 -2.373
1.944 -1.433 -3.237
-5.183 -5.188 -0.815
In K Se
2 1 1
direct
0.000 0.000 0.989 In
0.500 0.500 0.189 In
0.000 0.000 0.522 K
0.500 0.500 0.800 Se
```

Computed properties:
Calculated density ... 4.80 g/cm³
ΔE_f (raw) ... -0.40 eV per atom

Here is a relaxed NaWSe3 crystal from Alexandria. Energies are from PBE-GGA.

Cell and atoms, written as POSCAR:
```
NaWSe3
1.0
-1.729 -1.803 4.343
1.092 -4.654 -1.498
4.574 0.430 1.999
Na Se W
1 3 1
direct
0.500 0.500 0.500 Na
0.000 0.500 0.000 Se
0.000 0.000 0.500 Se
0.500 0.000 0.000 Se
0.000 0.000 0.000 W
```

Computed properties:
Calculated density ... 5.86 g/cm³
ΔE_f (raw) ... -0.19 eV per atom

Here is a relaxed Sc3Ga2Pt6 crystal from Alexandria. Energies are from PBE-GGA.

Cell and atoms, written as POSCAR:
```
Sc3Ga2Pt6
1.0
-4.735 -1.659 -6.378
-0.634 -5.965 5.464
-2.344 7.005 3.359
Sc Ga Pt
6 4 12
direct
0.689 0.000 0.689 Sc
0.311 0.000 0.311 Sc
0.000 0.311 0.311 Sc
0.000 0.689 0.689 Sc
0.311 0.311 0.000 Sc
0.689 0.689 0.000 Sc
0.000 0.500 0.000 Ga
0.500 0.000 0.000 Ga
0.000 0.000 0.500 Ga
0.500 0.500 0.500 Ga
0.676 0.352 0.676 Pt
0.676 0.000 0.324 Pt
0.324 0.000 0.676 Pt
0.324 0.648 0.324 Pt
0.000 0.676 0.324 Pt
0.648 0.324 0.324 Pt
0.352 0.676 0.676 Pt
0.000 0.324 0.676 Pt
0.324 0.676 0.000 Pt
0.676 0.676 0.352 Pt
0.324 0.324 0.648 Pt
0.676 0.324 0.000 Pt
```

Computed properties:
Calculated density ... 11.67 g/cm³
Electronic total energy ... -6.4726 eV per atom

Here is a relaxed Ti2MnOs crystal from Alexandria. Energies are from PBE-GGA.

Cell and atoms, written as POSCAR:
```
Ti2MnOs
1.0
-0.748 -4.197 -0.589
-3.579 -1.791 1.581
-3.127 -1.275 -2.667
Mn Os Ti
1 1 2
direct
0.000 0.000 0.000 Mn
0.500 0.500 0.500 Os
0.250 0.250 0.250 Ti
0.750 0.750 0.750 Ti
```

Computed properties:
Calculated density ... 10.05 g/cm³
Electronic total energy ... -9.5435 eV per atom

Here is a relaxed SrTl2Br crystal from Alexandria. Energies are from PBE-GGA.

Cell and atoms, written as POSCAR:
```
SrTl2Br
1.0
-1.523 -4.477 3.280
1.378 -2.410 5.041
-4.382 2.964 3.737
Sr Tl Br
1 2 1
direct
0.245 0.245 0.326 Sr
0.998 0.998 0.956 Tl
0.736 0.736 0.802 Tl
0.521 0.521 0.416 Br
```

Computed properties:
Calculated density ... 6.98 g/cm³
ΔE_f (raw) ... -0.64 eV per atom

Here is a relaxed La3Tb2SmAs6 crystal from Alexandria. Energies are from PBE-GGA.

Cell and atoms, written as POSCAR:
```
La3Tb2SmAs6
1.0
-1.719 -6.892 -2.066
5.122 1.129 5.217
-6.081 1.683 3.857
La Tb Sm As
3 2 1 6
direct
0.166 0.834 0.500 La
0.834 0.166 0.500 La
0.500 0.500 0.500 La
0.333 0.667 0.000 Tb
0.667 0.333 0.000 Tb
0.000 0.000 0.000 Sm
0.920 0.584 0.760 As
0.744 0.744 0.239 As
0.080 0.416 0.240 As
0.584 0.920 0.760 As
0.256 0.256 0.761 As
0.416 0.080 0.240 As
```

Computed properties:
Calculated density ... 6.71 g/cm³
Electronic total energy ... -6.2698 eV per atom

Here is a relaxed ThZr2UC4 crystal from Alexandria. Energies are from PBE-GGA.

Cell and atoms, written as POSCAR:
```
ThZr2UC4
1.0
-3.416 0.459 0.469
-0.990 -5.814 -1.520
0.228 -3.407 4.999
Th Zr U C
1 2 1 4
direct
0.500 0.500 0.000 Th
0.000 0.000 0.000 Zr
0.500 0.000 0.500 Zr
0.000 0.500 0.500 U
0.000 0.762 0.724 C
0.000 0.238 0.276 C
0.500 0.760 0.260 C
0.500 0.240 0.740 C
```

Computed properties:
Calculated density ... 9.59 g/cm³
Electronic total energy ... -9.5262 eV per atom

Here is a relaxed V3GaH3 crystal from Alexandria. Energies are from PBE-GGA.

Cell and atoms, written as POSCAR:
```
V3GaH3
1.0
-3.601 -1.944 -2.879
3.165 -3.544 -1.567
-1.430 -2.949 3.780
H Ga V
6 2 6
direct
0.250 0.000 0.500 H
0.000 0.500 0.250 H
0.500 0.750 0.000 H
0.750 0.000 0.500 H
0.000 0.500 0.750 H
0.500 0.250 0.000 H
0.500 0.500 0.500 Ga
0.000 0.000 0.000 Ga
0.000 0.250 0.500 V
0.000 0.750 0.500 V
0.500 0.000 0.750 V
0.750 0.500 0.000 V
0.500 0.000 0.250 V
0.250 0.500 0.000 V
```

Computed properties:
Calculated density ... 5.98 g/cm³
Electronic total energy ... -6.0253 eV per atom

Here is a relaxed Ba2Cd crystal from Alexandria. Energies are from PBE-GGA.

Cell and atoms, written as POSCAR:
```
Ba2Cd
1.0
10.383 -0.057 0.000
-9.445 4.311 0.000
0.000 0.000 6.325
Ba Cd
4 2
direct
0.935 0.065 0.000 Ba
0.649 0.351 0.000 Ba
0.509 0.491 0.500 Ba
0.796 0.204 0.500 Ba
0.296 0.704 0.000 Cd
0.149 0.851 0.500 Cd
```

Computed properties:
Calculated density ... 4.59 g/cm³
Electronic total energy ... -1.7667 eV per atom